1.
A plane-wave DFT calculation with PBE was carried out for a relaxed structure of MnInAg4.

The value obtained for the total DFT energy (no corrections) is -0.2691 Ry/atom. Its formation energy is 1.34 eV/f.u.

It has space group F-43m (No. 216), with a = 7.780 Å, b = 7.780 Å, c = 7.780 Å, α = 90.00°, β = 90.00° and γ = 90.00°. The distinct sites, in fractional coordinates, are Mn at (0.000, 0.000, 0.000), In at (0.250, 0.250, 0.250) and Ag at (0.125, 0.125, 0.625).


2.
A plane-wave DFT calculation with PBE was carried out for a relaxed structure of TlAsRh3.

The value obtained for the total DFT energy (no corrections) is -0.4067 Ry/atom. Its formation energy is 1.40 eV/f.u. For the relative energy among the computed polymorphs, the calculation gives 0.0 meV per atom.

It has space group Pm-3m (No. 221), with a = 4.583 Å, b = 4.583 Å, c = 4.583 Å, α = 90.00°, β = 90.00° and γ = 90.00°. The distinct sites, in fractional coordinates, are Tl at (0.000, 0.000, 0.000), As at (0.500, 0.500, 0.500) and Rh at (0.000, 0.500, 0.500).


3.
A plane-wave DFT calculation with PBE was carried out for a relaxed structure of LuThCdAu.

The value obtained for the total DFT energy (no corrections) is -0.3243 Ry/atom. Its formation energy is -1.52 eV/f.u.

It has space group F-43m (No. 216), with a = 7.415 Å, b = 7.415 Å, c = 7.415 Å, α = 90.00°, β = 90.00° and γ = 90.00°. The distinct sites, in fractional coordinates, are Lu at (0.000, 0.000, 0.000), Th at (0.000, 0.000, 0.500), Cd at (0.250, 0.250, 0.250) and Au at (0.250, 0.250, 0.750).


4.
A plane-wave DFT calculation with PBE was carried out for a relaxed structure of GaSiTe2.

The value obtained for the total DFT energy (no corrections) is -0.2572 Ry/atom. For the uncorrected formation energy, the calculation gives 71 kJ/mol of formula units. For the relative energy among the computed polymorphs, the calculation gives 33.9 meV per atom.

It has space group R-3m (No. 166, hexagonal axes), with a = 3.8216 Å, b = 3.8216 Å, c = 28.2728 Å, α = 90.00°, β = 90.00° and γ = 120.00°. The distinct sites, in fractional coordinates, are Ga at (0.0000, 0.0000, 0.0000), Si at (0.0000, 0.0000, 0.5000) and Te at (0.0000, 0.0000, 0.1092).


5.
A plane-wave DFT calculation with PBE was carried out for a relaxed structure of Nd4U6O19.

The value obtained for the total DFT energy (no corrections) is -0.6873 Ry/atom. For the uncorrected formation energy, the calculation gives -8702 kJ/mol of formula units.

It has space group I23 (No. 197), with a = 9.711 Å, b = 9.711 Å, c = 9.711 Å, α = 90.00°, β = 90.00° and γ = 90.00°. The distinct sites, in fractional coordinates, are Nd at (0.140, 0.140, 0.860), U at (0.000, 0.352, 0.500), O at (0.000, 0.000, 0.000), O at (0.000, 0.000, 0.314) and O at (0.046, 0.329, 0.720).


6.
A plane-wave DFT calculation with PBE was carried out for a relaxed structure of SrTiCo2.

The value obtained for the total DFT energy (no corrections) is -0.4014 Ry/atom. Its formation energy is 1.94 eV/f.u. For the relative energy among the computed polymorphs, the calculation gives 23.2 meV per atom.

It has space group Fm-3m (No. 225), with a = 6.506 Å, b = 6.506 Å, c = 6.506 Å, α = 90.00°, β = 90.00° and γ = 90.00°. The distinct sites, in fractional coordinates, are Sr at (0.000, 0.000, 0.000), Ti at (0.000, 0.000, 0.500) and Co at (0.250, 0.250, 0.250).


7.
A plane-wave DFT calculation with PBE was carried out for a relaxed structure of TlRe2Hg.

The value obtained for the total DFT energy (no corrections) is -0.4723 Ry/atom. Its formation energy is 1.86 eV/f.u. For the relative energy among the computed polymorphs, the calculation gives 17.4 meV per atom.

It has space group P4mm (No. 99), with a = 3.021 Å, b = 3.021 Å, c = 8.736 Å, α = 90.00°, β = 90.00° and γ = 90.00°. The distinct sites, in fractional coordinates, are Tl at (0.000, 0.000, 0.000), Re at (0.000, 0.000, 0.572), Re at (0.500, 0.500, 0.734) and Hg at (0.500, 0.500, 0.320).